No. 1
{"formula": "ThPaTlTc", "functional": "GGA-PBE", "state": "relaxed", "formation_energy_mev_per_atom": -130, "magmom_total_mub_per_fu": 0.00, "space_group": "P4mm, No. 99", "final_energy_ev_per_atom": -7.542, "cell": [[-1.554, 1.486, 2.557], [1.510, -2.085, 2.129], [6.759, 5.705, 0.793]], "species": ["Th", "Pa", "Tl", "Tc"], "fractional_positions": [[0.500, 0.500, 0.780], [0.500, 0.500, 0.369], [0.000, 0.000, 0.079], [0.000, 0.000, 0.557]]}

No. 2
{"formula": "Hg3SO", "functional": "GGA-PBE", "state": "relaxed", "de_polymorph_mev_per_atom": 0, "magmom_total_mub_per_fu": 0.00, "formation_energy_uncorrected_ev_per_atom": 0.299, "space_group": "Pm-3m, No. 221", "final_energy_ev_per_atom": -1.699, "cell": [[4.762, 0.000, 0.000], [0.000, 4.762, 0.000], [0.000, 0.000, 4.762]], "species": ["S", "Hg", "Hg", "Hg", "O"], "fractional_positions": [[0.500, 0.500, 0.500], [0.000, 0.500, 0.000], [0.000, 0.000, 0.500], [0.500, 0.000, 0.000], [0.000, 0.000, 0.000]]}

No. 3
{"formula": "Mg3GaB", "functional": "GGA-PBE", "state": "relaxed", "de_polymorph_mev_per_atom": 0, "formation_energy_mev_per_atom": 174, "magmom_total_mub_per_fu": 0.00, "space_group": "Pm-3m, No. 221", "final_energy_ev_per_atom": -2.724, "cell": [[-2.585, -2.515, -2.796], [3.476, -2.894, -0.610], [-1.437, -2.475, 3.555]], "species": ["Mg", "Mg", "Mg", "B", "Ga"], "fractional_positions": [[0.000, 0.500, 0.000], [0.000, 0.000, 0.500], [0.500, 0.000, 0.000], [0.000, 0.000, 0.000], [0.500, 0.500, 0.500]]}

No. 4
{"formula": "MgMnZn2Cd", "functional": "GGA-PBE", "state": "relaxed", "formation_energy_mev_per_atom": 1158, "magmom_total_mub_per_fu": 0.28, "space_group": "P4/mmm, No. 123", "final_energy_ev_per_atom": -1.687, "cell": [[-1.160, 2.430, 3.924], [-4.156, -2.102, 0.073], [1.808, -3.483, 2.692]], "species": ["Zn", "Zn", "Mn", "Mg", "Cd"], "fractional_positions": [[0.000, 0.000, 0.500], [0.500, 0.000, 0.000], [0.000, 0.500, 0.000], [0.000, 0.000, 0.000], [0.500, 0.500, 0.500]]}

No. 5
{"formula": "In4Ga2Bi", "functional": "GGA-PBE", "state": "relaxed", "formation_energy_mev_per_atom": 58, "magmom_total_mub_per_fu": 0.00, "space_group": "Cmmm, No. 65", "final_energy_ev_per_atom": -2.926, "cell": [[-4.176, -0.682, -1.975], [1.386, -2.315, -2.130], [-2.945, -7.235, 8.723]], "species": ["Bi", "Ga", "Ga", "In", "In", "In", "In"], "fractional_positions": [[0.000, 0.500, 0.000], [0.500, 0.205, 0.409], [0.500, 0.795, 0.591], [0.500, 0.076, 0.153], [0.000, 0.334, 0.668], [0.500, 0.924, 0.847], [0.000, 0.666, 0.332]]}

No. 6
{"formula": "PrB2C", "functional": "GGA-PBE", "state": "relaxed", "formation_energy_mev_per_atom": 14, "magmom_total_mub_per_fu": 0.00, "space_group": "C2/c, No. 15", "final_energy_ev_per_atom": -6.826, "cell": [[4.175, -0.239, 0.000], [1.386, 3.960, 0.000], [2.087, -0.120, 7.415]], "species": ["Pr", "Pr", "B", "B", "B", "B", "C", "C"], "fractional_positions": [[0.878, 0.250, 0.243], [0.122, 0.750, 0.757], [0.163, 0.623, 0.420], [0.417, 0.877, 0.420], [0.837, 0.377, 0.580], [0.583, 0.123, 0.580], [0.250, 0.250, 0.500], [0.750, 0.750, 0.500]]}

No. 7
{"formula": "Na3Ca2", "functional": "GGA-PBE", "state": "relaxed", "de_polymorph_mev_per_atom": 0, "formation_energy_mev_per_atom": 32, "magmom_total_mub_per_fu": 0.00, "space_group": "R-3m, No. 166", "final_energy_ev_per_atom": -1.560, "cell": [[-2.858, 0.680, -2.481], [-3.628, -0.821, 0.974], [-3.823, 14.193, 5.316]], "species": ["Na", "Na", "Na", "Ca", "Ca"], "fractional_positions": [[0.102, 0.102, 0.694], [0.500, 0.500, 0.500], [0.898, 0.898, 0.306], [0.299, 0.299, 0.102], [0.701, 0.701, 0.898]]}

No. 8
{"formula": "Ti4Pb", "functional": "GGA-PBE", "state": "relaxed", "de_polymorph_mev_per_atom": 205, "formation_energy_mev_per_atom": 157, "magmom_total_mub_per_fu": 0.00, "space_group": "Immm, No. 71", "final_energy_ev_per_atom": -6.900, "cell": [[-3.593, -1.336, -3.292], [-0.174, -5.029, 0.470], [-3.904, -1.857, 1.726]], "species": ["Ti", "Ti", "Ti", "Ti", "Pb"], "fractional_positions": [[0.308, 0.308, 0.193], [0.304, 0.696, 0.500], [0.696, 0.304, 0.500], [0.692, 0.692, 0.807], [0.000, 0.000, 0.000]]}

No. 9
{"formula": "Sm6BiTe3Se2", "functional": "GGA-PBE", "state": "relaxed", "magmom_total_mub_per_fu": 0.00, "formation_energy_uncorrected_ev_per_atom": -1.453, "space_group": "C2/m, No. 12", "final_energy_ev_per_atom": -5.502, "cell": [[-3.873, -0.133, 2.014], [2.446, -7.312, 4.219], [4.718, 7.149, 4.808]], "species": ["Sm", "Sm", "Sm", "Sm", "Sm", "Sm", "Bi", "Te", "Te", "Te", "Se", "Se"], "fractional_positions": [[0.330, 0.889, 0.660], [0.674, 0.567, 0.348], [0.670, 0.111, 0.340], [0.012, 0.256, 0.024], [0.988, 0.744, 0.976], [0.326, 0.433, 0.652], [0.500, 0.000, 0.000], [0.500, 0.500, 0.000], [0.838, 0.167, 0.676], [0.162, 0.833, 0.324], [0.831, 0.663, 0.662], [0.169, 0.337, 0.338]]}

No. 10
{"formula": "HfZrPtW", "functional": "GGA-PBE", "state": "relaxed", "formation_energy_mev_per_atom": -464, "magmom_total_mub_per_fu": 0.00, "space_group": "F-43m, No. 216", "final_energy_ev_per_atom": -9.838, "cell": [[4.702, 0.000, 0.000], [2.351, 4.072, 0.000], [2.351, 1.357, 3.839]], "species": ["Zr", "Hf", "W", "Pt"], "fractional_positions": [[0.000, 0.000, 0.000], [0.500, 0.500, 0.500], [0.250, 0.250, 0.250], [0.750, 0.750, 0.750]]}

No. 11
{"formula": "ZrTiZnW", "functional": "GGA-PBE", "state": "relaxed", "formation_energy_mev_per_atom": -3, "magmom_total_mub_per_fu": 0.00, "space_group": "F-43m, No. 216", "final_energy_ev_per_atom": -7.670, "cell": [[-1.123, -2.539, 3.693], [3.290, -2.228, 2.359], [1.179, 1.430, 4.233]], "species": ["Zn", "Zr", "W", "Ti"], "fractional_positions": [[0.500, 0.500, 0.500], [0.250, 0.250, 0.250], [0.000, 0.000, 0.000], [0.750, 0.750, 0.750]]}

No. 12
{"formula": "BaAg3H", "functional": "GGA-PBE", "state": "relaxed", "magmom_total_mub_per_fu": 0.00, "space_group": "Pm-3m, No. 221", "final_energy_ev_per_atom": -2.468, "cell": [[-1.107, 0.879, -4.555], [-4.193, -2.192, 0.596], [-1.984, 4.143, 1.281]], "species": ["H", "Ba", "Ag", "Ag", "Ag"], "fractional_positions": [[0.000, 0.000, 0.000], [0.500, 0.500, 0.500], [0.000, 0.500, 0.000], [0.000, 0.000, 0.500], [0.500, 0.000, 0.000]]}

No. 13
{"formula": "PmCdRh", "functional": "GGA-PBE", "state": "relaxed", "de_polymorph_mev_per_atom": 146, "formation_energy_mev_per_atom": -380, "magmom_total_mub_per_fu": 0.00, "space_group": "P-6m2, No. 187", "final_energy_ev_per_atom": -4.719, "cell": [[3.598, 0.000, 0.000], [0.000, 4.685, 0.000], [0.000, -2.343, 4.058]], "species": ["Cd", "Rh", "Pm"], "fractional_positions": [[0.166, 0.333, 0.667], [0.167, 0.000, 0.000], [0.667, 0.667, 0.333]]}

No. 14
{"formula": "CaAlTlZn", "functional": "GGA-PBE", "state": "relaxed", "formation_energy_mev_per_atom": -100, "magmom_total_mub_per_fu": 0.00, "space_group": "F-43m, No. 216", "final_energy_ev_per_atom": -2.447, "cell": [[-1.455, -0.939, -4.735], [3.339, -1.701, -3.373], [-0.286, -4.755, -1.654]], "species": ["Tl", "Ca", "Zn", "Al"], "fractional_positions": [[0.250, 0.250, 0.250], [0.500, 0.500, 0.500], [0.750, 0.750, 0.750], [0.000, 0.000, 0.000]]}

No. 15
{"formula": "Cs2K5AgHg2", "functional": "GGA-PBE", "state": "relaxed", "formation_energy_mev_per_atom": -51, "magmom_total_mub_per_fu": 0.00, "space_group": "P4/mbm, No. 127", "final_energy_ev_per_atom": -1.116, "cell": [[-4.509, 0.451, -1.680], [1.129, -13.166, -6.568], [-5.190, -6.520, 12.178]], "species": ["Cs", "Cs", "Cs", "Cs", "K", "K", "K", "K", "K", "K", "K", "K", "K", "K", "Ag", "Ag", "Hg", "Hg", "Hg", "Hg"], "fractional_positions": [[0.000, 0.676, 0.176], [0.000, 0.324, 0.824], [0.000, 0.176, 0.324], [0.000, 0.824, 0.676], [0.500, 0.189, 0.061], [0.500, 0.811, 0.939], [0.500, 0.061, 0.811], [0.500, 0.689, 0.439], [0.500, 0.939, 0.189], [0.500, 0.311, 0.561], [0.500, 0.561, 0.689], [0.500, 0.439, 0.311], [0.500, 0.500, 0.000], [0.500, 0.000, 0.500], [0.000, 0.000, 0.000], [0.000, 0.500, 0.500], [0.000, 0.131, 0.631], [0.000, 0.869, 0.369], [0.000, 0.631, 0.869], [0.000, 0.369, 0.131]]}

No. 16
{"formula": "Nd2TmAl", "functional": "GGA-PBE", "state": "relaxed", "de_polymorph_mev_per_atom": 7, "formation_energy_mev_per_atom": -166, "magmom_total_mub_per_fu": 0.00, "space_group": "P4/mmm, No. 123", "final_energy_ev_per_atom": -4.603, "cell": [[-1.453, 4.630, 0.295], [-1.360, -0.719, 4.583], [4.409, 1.287, 1.510]], "species": ["Tm", "Nd", "Nd", "Al"], "fractional_positions": [[0.500, 0.000, 0.000], [0.000, 0.000, 0.500], [0.000, 0.500, 0.000], [0.500, 0.500, 0.500]]}

No. 17
{"formula": "MgCdPb2", "functional": "GGA-PBE", "state": "relaxed", "de_polymorph_mev_per_atom": 14, "formation_energy_mev_per_atom": -12, "magmom_total_mub_per_fu": 0.00, "space_group": "Pmm2, No. 25", "final_energy_ev_per_atom": -2.493, "cell": [[-0.726, 3.067, -1.419], [0.318, -1.739, -3.922], [-7.082, -1.611, 0.140]], "species": ["Pb", "Pb", "Mg", "Cd"], "fractional_positions": [[0.000, 0.000, 0.974], [0.500, 0.500, 0.271], [0.500, 0.500, 0.733], [0.000, 0.000, 0.521]]}

No. 18
{"formula": "ZrCoRe2As", "functional": "GGA-PBE", "state": "relaxed", "formation_energy_mev_per_atom": 901, "magmom_total_mub_per_fu": 1.07, "space_group": "P4/mmm, No. 123", "final_energy_ev_per_atom": -8.139, "cell": [[-4.328, -1.391, 0.263], [1.066, -3.673, -1.899], [0.845, -1.859, 4.070]], "species": ["Re", "Re", "As", "Co", "Zr"], "fractional_positions": [[0.000, 0.000, 0.500], [0.500, 0.000, 0.000], [0.000, 0.500, 0.000], [0.000, 0.000, 0.000], [0.500, 0.500, 0.500]]}

No. 19
{"formula": "Ba2Li3", "functional": "GGA-PBE", "state": "relaxed", "de_polymorph_mev_per_atom": 218, "formation_energy_mev_per_atom": 248, "magmom_total_mub_per_fu": 0.00, "space_group": "R-3c, No. 167", "final_energy_ev_per_atom": -1.670, "cell": [[8.337, 0.000, 0.000], [4.168, 7.220, 0.000], [4.168, 2.407, 6.863]], "species": ["Ba", "Ba", "Ba", "Ba", "Li", "Li", "Li", "Li", "Li", "Li"], "fractional_positions": [[0.905, 0.905, 0.286], [0.405, 0.405, 0.786], [0.095, 0.095, 0.714], [0.595, 0.595, 0.214], [0.949, 0.750, 0.750], [0.750, 0.551, 0.750], [0.551, 0.949, 0.750], [0.250, 0.449, 0.250], [0.449, 0.051, 0.250], [0.051, 0.250, 0.250]]}

No. 20
{"formula": "DyPaZn17", "functional": "GGA-PBE", "state": "relaxed", "formation_energy_mev_per_atom": -169, "magmom_total_mub_per_fu": 1.03, "space_group": "R3m, No. 160", "final_energy_ev_per_atom": -2.051, "cell": [[-6.216, 2.720, -0.054], [-2.006, -2.342, 6.044], [1.474, 5.560, 3.598]], "species": ["Dy", "Pa", "Zn", "Zn", "Zn", "Zn", "Zn", "Zn", "Zn", "Zn", "Zn", "Zn", "Zn", "Zn", "Zn", "Zn", "Zn", "Zn", "Zn"], "fractional_positions": [[0.337, 0.337, 0.337], [0.664, 0.664, 0.664], [0.297, 0.000, 0.703], [0.703, 0.297, 0.000], [0.000, 0.703, 0.297], [0.297, 0.703, 0.000], [0.000, 0.297, 0.703], [0.703, 0.000, 0.297], [0.354, 0.837, 0.354], [0.354, 0.354, 0.837], [0.837, 0.354, 0.354], [0.648, 0.160, 0.648], [0.648, 0.648, 0.160], [0.160, 0.648, 0.648], [0.999, 0.501, 0.999], [0.999, 0.999, 0.501], [0.501, 0.999, 0.999], [0.900, 0.900, 0.900], [0.100, 0.100, 0.100]]}